A geometry-optimized RbCd5In structure, computed with PBE.

Output
- E: -1.159 eV per atom
- Energy of formation from the pure elements: 0.02 eV/atom
- Spin magnetization: 0.00 Bohr magnetons per cell
- Crystal system: orthorhombic

Unit cell a=5.433 b=5.433 c=8.870 alpha=90.02 beta=90.02 gamma=116.59
Element x y z (fractional)
Rb 0.000 0.000 0.000
Cd 0.500 0.000 0.307
Cd 0.000 0.500 0.307
Cd 0.000 0.000 0.500
Cd 0.000 0.500 0.693
Cd 0.500 0.000 0.693
In 0.500 0.500 0.500

---

A geometry-optimized Rb2CdIn2 structure, computed with PBE.

Output
- E: -1.504 eV per atom
- Polymorph energy (0 for the lowest one): 0.174 eV per atom
- Energy of formation from the pure elements: 0.16 eV/atom
- Spin magnetization: 0.00 Bohr magnetons per cell
- Crystal system: tetragonal

Unit cell a=11.309 b=11.309 c=3.425 alpha=90.00 beta=90.00 gamma=90.00
Element x y z (fractional)
Cd 0.000 0.000 0.000
Cd 0.500 0.500 0.000
Rb 0.300 0.800 0.000
Rb 0.800 0.700 0.000
Rb 0.700 0.200 0.000
Rb 0.200 0.300 0.000
In 0.092 0.592 0.500
In 0.592 0.908 0.500
In 0.908 0.408 0.500
In 0.408 0.092 0.500

---

A geometry-optimized Rb2Cd3In2 structure, computed with PBE.

Output
- E: -1.507 eV per atom
- Energy of formation from the pure elements: -0.06 eV/atom
- Spin magnetization: 0.00 Bohr magnetons per cell
- Crystal system: monoclinic

Unit cell a=4.965 b=7.268 c=8.773 alpha=121.14 beta=90.00 gamma=109.97
Element x y z (fractional)
Rb 0.863 0.727 0.241
Rb 0.137 0.273 0.759
Cd 0.500 0.000 0.000
Cd 0.645 0.291 0.423
Cd 0.355 0.709 0.577
In 0.868 0.736 0.798
In 0.132 0.264 0.202

---

A geometry-optimized RbCdIn2 structure, computed with PBE.

Output
- E: -1.918 eV per atom
- Energy of formation from the pure elements: -0.08 eV/atom
- Spin magnetization: 0.00 Bohr magnetons per cell
- Crystal system: orthorhombic

Unit cell a=4.847 b=7.162 c=8.421 alpha=90.00 beta=90.00 gamma=109.78
Element x y z (fractional)
Rb 0.957 0.913 0.250
Rb 0.043 0.087 0.750
Cd 0.233 0.466 0.250
Cd 0.767 0.534 0.750
In 0.337 0.674 0.940
In 0.663 0.326 0.060
In 0.663 0.326 0.440
In 0.337 0.674 0.560

---

A geometry-optimized RbCd2In2 structure, computed with PBE.

Output
- E: -1.727 eV per atom
- Polymorph energy (0 for the lowest one): 0.000 eV per atom
- Energy of formation from the pure elements: -0.07 eV/atom
- Spin magnetization: 0.00 Bohr magnetons per cell
- Crystal system: tetragonal

Unit cell a=4.938 b=4.938 c=12.831 alpha=90.00 beta=90.00 gamma=90.00
Element x y z (fractional)
Rb 0.500 0.000 0.249
Rb 0.000 0.500 0.751
Cd 0.000 0.500 0.362
Cd 0.500 0.000 0.638
Cd 0.500 0.500 0.000
Cd 0.000 0.000 0.000
In 0.500 0.500 0.500
In 0.000 0.000 0.500
In 0.000 0.500 0.131
In 0.500 0.000 0.869

---

A geometry-optimized Rb3Cd2In9 structure, computed with PBE.

Output
- E: -2.169 eV per atom
- Energy of formation from the pure elements: -0.07 eV/atom
- Spin magnetization: 0.00 Bohr magnetons per cell
- Crystal system: orthorhombic

Unit cell a=5.188 b=9.719 c=9.719 alpha=70.25 beta=74.52 gamma=74.52
Element x y z (fractional)
Rb 0.000 0.000 0.000
Rb 0.701 0.299 0.299
Rb 0.299 0.701 0.701
Cd 0.500 0.310 0.690
Cd 0.500 0.690 0.310
In 0.000 0.500 0.500
In 0.664 0.976 0.696
In 0.336 0.024 0.304
In 0.664 0.696 0.976
In 0.336 0.304 0.024
In 0.862 0.856 0.420
In 0.138 0.144 0.580
In 0.862 0.420 0.856
In 0.138 0.580 0.144